No. 1
# Sm2AlAg3 (GGA-PBE, relaxed)
data_Sm2AlAg3
_cell_length_a 3.844
_cell_length_b 4.391
_cell_length_c 9.094
_cell_angle_alpha 103.97
_cell_angle_beta 102.20
_cell_angle_gamma 90.00
_symmetry_space_group_name_H-M 'P 1'
_symmetry_Int_Tables_number 1
loop_
_symmetry_equiv_pos_as_xyz
'x,y,z'
loop_
_atom_site_label
_atom_site_fract_x
_atom_site_fract_y
_atom_site_fract_z
Sm1 0.876 0.376 0.753
Sm2 0.121 0.121 0.242
Ag1 0.308 0.808 0.616
Ag2 0.697 0.697 0.393
Ag3 0.537 0.537 0.073
Al1 0.461 0.961 0.922
# volume	145.36	Å³ per cell
# total energy	-3.86	eV per atom
# formation enthalpy at 0 K	-0.235	eV per atom
# Fermi-level density of states	4.67	states/eV per cell
# space-group type	No. 44

***

No. 2
# Nd5SmP6 (GGA-PBE, relaxed)
data_Nd5SmP6
_cell_length_a 7.203
_cell_length_b 7.204
_cell_length_c 7.203
_cell_angle_alpha 59.99
_cell_angle_beta 80.40
_cell_angle_gamma 70.51
_symmetry_space_group_name_H-M 'P 1'
_symmetry_Int_Tables_number 1
loop_
_symmetry_equiv_pos_as_xyz
'x,y,z'
loop_
_atom_site_label
_atom_site_fract_x
_atom_site_fract_y
_atom_site_fract_z
P1 0.751 0.083 0.331
P2 0.249 0.917 0.669
P3 0.751 0.414 0.669
P4 0.249 0.586 0.331
P5 0.249 0.248 0.000
P6 0.751 0.752 0.000
Sm1 0.000 0.000 0.000
Nd1 0.000 0.333 0.333
Nd2 0.500 0.167 0.666
Nd3 0.000 0.667 0.667
Nd4 0.500 0.500 0.000
Nd5 0.500 0.833 0.334
# volume	305.12	Å³ per cell
# total energy	-6.63	eV per atom
# formation enthalpy at 0 K	-1.544	eV per atom
# Fermi-level density of states	0.89	states/eV per cell
# space-group type	No. 12